! PBE-GGA YPaCO, relaxed; values from VASP
! Volume (Å³/f.u.): 69.99
! DFT total energy (eV/atom): -8.831
! D(E_F) (states/eV/atom): 0.35
&SYSTEM
  ibrav = 0, nat = 8, ntyp = 4
/
ATOMIC_SPECIES
Y 88.91 Y.upf
Pa 231.04 Pa.upf
C 12.01 C.upf
O 16.00 O.upf
ATOMIC_POSITIONS crystal
Y 0.000 0.500 0.381
Pa 0.500 0.500 0.000
C 0.000 0.500 0.845
O 0.000 0.000 0.500
Y 0.500 0.000 0.619
O 0.500 0.500 0.500
Pa 0.000 0.000 0.000
C 0.500 0.000 0.155
CELL_PARAMETERS angstrom
-0.582 -2.627 -3.059
3.858 -1.263 0.351
-2.431 -5.891 5.522